Record 1
A plane-wave DFT calculation with GGA-PBE was carried out for a relaxed Mg9InHg2 crystal.

Calculated values
As for the uncorrected energy: -1.5973 eV/atom. For the volume, the calculation gives 21.89 Å³/atom. The symmetry is P4/mmm. The spin magnetization comes out at 0.0 μB/f.u. Its formation energy is -0.12 eV/atom.

Unit cell a=4.429 b=4.429 c=13.389 alpha=90.00 beta=90.00 gamma=90.00
Positions (direct):
Hg 0.000 0.000 0.665
Mg 0.000 0.500 0.500
Hg 0.000 0.000 0.335
Mg 0.500 0.000 0.500
Mg 0.500 0.500 0.664
Mg 0.500 0.000 0.829
Mg 0.000 0.500 0.829
Mg 0.500 0.000 0.171
Mg 0.500 0.500 0.000
Mg 0.500 0.500 0.336
Mg 0.000 0.500 0.171
In 0.000 0.000 0.000


Record 2
A plane-wave DFT calculation with GGA-PBE was carried out for a relaxed Mg2In2Hg crystal.

Calculated values
As for the uncorrected energy: -1.6962 eV/atom. For the volume, the calculation gives 26.63 Å³/atom. The symmetry is I4/mmm. The spin magnetization comes out at 0.0 μB/f.u. Its formation energy is 0.10 eV/atom. Its energy above the lowest structure with this stoichiometry is 217 meV per atom.

Unit cell a=4.396 b=4.396 c=7.560 alpha=73.10 beta=73.10 gamma=90.00
Positions (direct):
Mg 0.250 0.750 0.500
Hg 0.000 0.000 0.000
Mg 0.750 0.250 0.500
In 0.398 0.398 0.205
In 0.602 0.602 0.795


Record 3
A plane-wave DFT calculation with GGA-PBE was carried out for a relaxed MgIn7Hg12 crystal.

Calculated values
As for the uncorrected energy: -1.2111 eV/atom. For the volume, the calculation gives 27.71 Å³/atom. The symmetry is R-3. The spin magnetization comes out at 0.0 μB/f.u. Its formation energy is 0.01 eV/atom.

Unit cell a=6.380 b=10.239 c=10.239 alpha=64.20 beta=78.01 gamma=101.99
Positions (direct):
Hg 0.602 0.791 0.276
In 0.946 0.645 0.840
Hg 0.812 0.934 0.791
Hg 0.437 0.630 0.864
In 0.214 0.160 0.484
In 0.054 0.355 0.160
Mg 0.000 0.000 0.000
Hg 0.878 0.276 0.934
In 0.302 0.516 0.645
Hg 0.302 0.864 0.506
In 0.500 0.000 0.000
Hg 0.193 0.494 0.370
In 0.698 0.484 0.355
Hg 0.807 0.506 0.630
In 0.786 0.840 0.516
Hg 0.398 0.209 0.724
Hg 0.563 0.370 0.136
Hg 0.122 0.724 0.066
Hg 0.698 0.136 0.494
Hg 0.188 0.066 0.209


Record 4
A plane-wave DFT calculation with GGA-PBE was carried out for a relaxed Mg6InHg5 crystal.

Calculated values
As for the uncorrected energy: -1.3572 eV/atom. For the volume, the calculation gives 21.74 Å³/atom. The symmetry is C2/m. The spin magnetization comes out at 0.0 μB/f.u. Its formation energy is -0.21 eV/atom.

Unit cell a=5.029 b=8.543 c=8.543 alpha=119.76 beta=106.75 gamma=106.75
Positions (direct):
Hg 0.000 0.331 0.669
Mg 0.763 0.263 0.263
Mg 0.259 0.086 0.428
Hg 0.500 0.500 0.500
In 0.000 0.000 0.000
Hg 0.000 0.669 0.331
Mg 0.237 0.737 0.737
Mg 0.741 0.914 0.572
Mg 0.259 0.428 0.086
Mg 0.741 0.572 0.914
Hg 0.500 0.841 0.159
Hg 0.500 0.159 0.841


Record 5
A plane-wave DFT calculation with GGA-PBE was carried out for a relaxed MgIn6Hg10 crystal.

Calculated values
As for the uncorrected energy: -1.2402 eV/atom. For the volume, the calculation gives 26.47 Å³/atom. The symmetry is P-31m. The spin magnetization comes out at 0.0 μB/f.u. Its formation energy is 0.00 eV/atom.

Unit cell a=6.526 b=8.924 c=8.924 alpha=120.00 beta=90.00 gamma=90.00
Positions (direct):
Hg 0.209 0.746 0.000
Hg 0.000 0.333 0.667
Mg 0.500 0.000 0.000
In 0.264 0.391 0.000
Hg 0.500 0.667 0.333
Hg 0.500 0.333 0.667
Hg 0.791 0.746 0.746
In 0.264 0.609 0.609
Hg 0.209 0.000 0.746
Hg 0.000 0.667 0.333
In 0.264 0.000 0.391
Hg 0.209 0.254 0.254
In 0.736 0.609 0.000
Hg 0.791 0.000 0.254
In 0.736 0.000 0.609
In 0.736 0.391 0.391
Hg 0.791 0.254 0.000


Record 6
A plane-wave DFT calculation with GGA-PBE was carried out for a relaxed Mg2InHg crystal.

Calculated values
As for the uncorrected energy: -1.6681 eV/atom. For the volume, the calculation gives 23.35 Å³/atom. The symmetry is Cm. The spin magnetization comes out at 0.0 μB/f.u. Its formation energy is -0.11 eV/atom.

Unit cell a=3.412 b=3.412 c=9.506 alpha=79.62 beta=79.62 gamma=59.65
Positions (direct):
Hg 0.667 0.667 0.999
Mg 0.255 0.255 0.236
In 0.500 0.500 0.501
Mg 0.078 0.078 0.765


Record 7
A plane-wave DFT calculation with GGA-PBE was carried out for a relaxed Mg2In5Hg12 crystal.

Calculated values
As for the uncorrected energy: -1.0508 eV/atom. For the volume, the calculation gives 28.47 Å³/atom. The symmetry is C2/m. The spin magnetization comes out at 0.0 μB/f.u. Its formation energy is 0.03 eV/atom. Its energy above the lowest structure with this stoichiometry is 46 meV per atom.

Unit cell a=7.131 b=9.127 c=9.408 alpha=105.02 beta=90.00 gamma=112.99
Positions (direct):
Hg 0.038 0.649 0.943
In 0.652 0.304 0.805
In 0.725 0.451 0.310
Hg 0.533 0.066 0.268
Hg 0.467 0.934 0.732
Mg 0.733 0.000 0.000
In 0.000 0.000 0.500
Hg 0.389 0.351 0.057
Mg 0.267 0.000 0.000
Hg 0.611 0.649 0.943
Hg 0.937 0.874 0.762
Hg 0.125 0.710 0.470
Hg 0.962 0.351 0.057
In 0.348 0.696 0.195
Hg 0.875 0.290 0.530
Hg 0.585 0.710 0.470
Hg 0.063 0.126 0.238
Hg 0.415 0.290 0.530
In 0.275 0.549 0.690


Record 8
A plane-wave DFT calculation with GGA-PBE was carried out for a relaxed Mg2InHg crystal.

Calculated values
As for the uncorrected energy: -1.6290 eV/atom. For the volume, the calculation gives 23.46 Å³/atom. The symmetry is P4mm. The spin magnetization comes out at 0.0 μB/f.u. Its formation energy is -0.07 eV/atom.

Unit cell a=3.359 b=3.359 c=8.317 alpha=90.00 beta=90.00 gamma=90.04
Positions (direct):
Mg 0.000 0.000 0.010
Mg 0.500 0.500 0.261
Hg 0.000 0.000 0.476
In 0.500 0.500 0.754


Record 9
A plane-wave DFT calculation with GGA-PBE was carried out for a relaxed Mg4In5Hg crystal.

Calculated values
As for the uncorrected energy: -2.0872 eV/atom. For the volume, the calculation gives 24.20 Å³/atom. The symmetry is P4/mmm. The spin magnetization comes out at 0.0 μB/f.u. Its formation energy is -0.05 eV/atom. Its energy above the lowest structure with this stoichiometry is 17 meV per atom.

Unit cell a=3.581 b=3.581 c=18.875 alpha=90.00 beta=90.00 gamma=90.00
Positions (direct):
In 0.500 0.500 0.695
In 0.500 0.500 0.107
In 0.500 0.500 0.893
In 0.500 0.500 0.500
Mg 0.000 0.000 0.597
Mg 0.000 0.000 0.207
In 0.500 0.500 0.305
Hg 0.000 0.000 0.000
Mg 0.000 0.000 0.403
Mg 0.000 0.000 0.793


Record 10
A plane-wave DFT calculation with GGA-PBE was carried out for a relaxed MgIn9Hg2 crystal.

Calculated values
As for the uncorrected energy: -2.2402 eV/atom. For the volume, the calculation gives 26.03 Å³/atom. The symmetry is P4/mmm. The spin magnetization comes out at 0.0 μB/f.u. Its formation energy is 0.00 eV/atom.

Unit cell a=4.708 b=4.708 c=14.097 alpha=90.00 beta=90.00 gamma=90.00
Positions (direct):
In 0.500 0.500 0.329
In 0.500 0.000 0.837
In 0.000 0.500 0.500
Hg 0.000 0.000 0.666
Mg 0.000 0.000 0.000
In 0.000 0.500 0.837
In 0.500 0.000 0.500
In 0.500 0.000 0.163
In 0.000 0.500 0.163
In 0.500 0.500 0.671
Hg 0.000 0.000 0.334
In 0.500 0.500 0.000


Record 11
A plane-wave DFT calculation with GGA-PBE was carried out for a relaxed MgIn2Hg2 crystal.

Calculated values
As for the uncorrected energy: -1.4541 eV/atom. For the volume, the calculation gives 26.83 Å³/atom. The symmetry is I4/mmm. The spin magnetization comes out at 0.0 μB/f.u. Its formation energy is 0.08 eV/atom. Its energy above the lowest structure with this stoichiometry is 144 meV per atom.

Unit cell a=4.294 b=4.294 c=7.885 alpha=74.20 beta=74.20 gamma=90.00
Positions (direct):
Hg 0.403 0.403 0.193
Mg 0.000 0.000 0.000
In 0.750 0.250 0.500
In 0.250 0.750 0.500
Hg 0.597 0.597 0.807


Record 12
A plane-wave DFT calculation with GGA-PBE was carried out for a relaxed Mg3In2Hg3 crystal.

Calculated values
As for the uncorrected energy: -1.5150 eV/atom. For the volume, the calculation gives 23.26 Å³/atom. The symmetry is Immm. The spin magnetization comes out at 0.0 μB/f.u. Its formation energy is -0.12 eV/atom.

Unit cell a=3.724 b=4.852 c=10.742 alpha=103.05 beta=99.98 gamma=90.00
Positions (direct):
Hg 0.500 0.000 0.000
In 0.240 0.740 0.479
In 0.760 0.260 0.521
Mg 0.878 0.878 0.756
Hg 0.613 0.613 0.226
Mg 0.122 0.122 0.244
Mg 0.000 0.500 0.000
Hg 0.387 0.387 0.774


Record 13
A plane-wave DFT calculation with GGA-PBE was carried out for a relaxed MgIn2Hg2 crystal.

Calculated values
As for the uncorrected energy: -1.4338 eV/atom. For the volume, the calculation gives 27.51 Å³/atom. The symmetry is I4/mmm. The spin magnetization comes out at 0.0 μB/f.u. Its formation energy is 0.10 eV/atom. Its energy above the lowest structure with this stoichiometry is 165 meV per atom.

Unit cell a=4.190 b=4.190 c=8.375 alpha=75.51 beta=75.51 gamma=90.00
Positions (direct):
In 0.598 0.598 0.804
Mg 0.000 0.000 0.000
Hg 0.750 0.250 0.500
Hg 0.250 0.750 0.500
In 0.402 0.402 0.196


Record 14
A plane-wave DFT calculation with GGA-PBE was carried out for a relaxed Mg4In5Hg crystal.

Calculated values
As for the uncorrected energy: -2.1038 eV/atom. For the volume, the calculation gives 24.77 Å³/atom. The symmetry is C2/m. The spin magnetization comes out at 0.0 μB/f.u. Its formation energy is -0.07 eV/atom. Its energy above the lowest structure with this stoichiometry is 0 meV per atom.

Unit cell a=4.772 b=7.327 c=8.298 alpha=115.74 beta=106.71 gamma=90.00
Positions (direct):
Mg 0.985 0.211 0.971
Mg 0.330 0.065 0.659
Mg 0.670 0.935 0.341
Hg 0.500 0.000 0.000
In 0.165 0.635 0.331
In 0.500 0.500 0.000
Mg 0.015 0.789 0.029
In 0.187 0.246 0.373
In 0.835 0.365 0.669
In 0.813 0.754 0.627


Record 15
A plane-wave DFT calculation with GGA-PBE was carried out for a relaxed MgIn2Hg crystal.

Calculated values
As for the uncorrected energy: -1.8845 eV/atom. For the volume, the calculation gives 24.58 Å³/atom. The symmetry is C2/m. The spin magnetization comes out at 0.0 μB/f.u. Its formation energy is -0.04 eV/atom.

Unit cell a=5.539 b=5.539 c=5.499 alpha=78.53 beta=78.53 gamma=36.60
Positions (direct):
In 0.503 0.503 0.496
Hg 0.750 0.750 0.750
In 0.997 0.997 0.004
Mg 0.250 0.250 0.250


Record 16
A plane-wave DFT calculation with GGA-PBE was carried out for a relaxed MgIn2Hg6 crystal.

Calculated values
As for the uncorrected energy: -1.0028 eV/atom. For the volume, the calculation gives 25.69 Å³/atom. The symmetry is C2/m. The spin magnetization comes out at 0.0 μB/f.u. Its formation energy is -0.02 eV/atom. Its energy above the lowest structure with this stoichiometry is 0 meV per atom.

Unit cell a=7.662 b=3.682 c=8.611 alpha=77.66 beta=87.24 gamma=76.96
Positions (direct):
Hg 0.836 0.491 0.168
Hg 0.164 0.841 0.168
Hg 0.164 0.509 0.832
In 0.500 0.167 0.167
In 0.500 0.833 0.833
Hg 0.836 0.159 0.832
Mg 0.000 0.000 0.500
Hg 0.324 0.333 0.500
Hg 0.676 0.667 0.500


Record 17
A plane-wave DFT calculation with GGA-PBE was carried out for a relaxed MgInHg4 crystal.

Calculated values
As for the uncorrected energy: -0.8313 eV/atom. For the volume, the calculation gives 26.29 Å³/atom. The symmetry is F-43m. The spin magnetization comes out at 0.0 μB/f.u. Its formation energy is 0.09 eV/atom. Its energy above the lowest structure with this stoichiometry is 135 meV per atom.

Unit cell a=6.065 b=6.065 c=6.065 alpha=60.00 beta=60.00 gamma=60.00
Positions (direct):
Hg 0.375 0.875 0.375
Mg 0.000 0.000 0.000
Hg 0.375 0.375 0.375
Hg 0.375 0.375 0.875
In 0.750 0.750 0.750
Hg 0.875 0.375 0.375


Record 18
A plane-wave DFT calculation with GGA-PBE was carried out for a relaxed MgIn2Hg crystal.

Calculated values
As for the uncorrected energy: -1.8966 eV/atom. For the volume, the calculation gives 24.39 Å³/atom. The symmetry is Pmmm. The spin magnetization comes out at 0.0 μB/f.u. Its formation energy is -0.05 eV/atom.

Unit cell a=4.327 b=4.700 c=4.798 alpha=90.00 beta=90.00 gamma=90.00
Positions (direct):
In 0.000 0.000 0.000
Mg 0.500 0.000 0.500
Hg 0.000 0.500 0.500
In 0.500 0.500 0.000


Record 19
A plane-wave DFT calculation with GGA-PBE was carried out for a relaxed MgIn2Hg5 crystal.

Calculated values
As for the uncorrected energy: -1.0558 eV/atom. For the volume, the calculation gives 27.94 Å³/atom. The symmetry is Cmcm. The spin magnetization comes out at 0.0 μB/f.u. Its formation energy is 0.02 eV/atom. Its energy above the lowest structure with this stoichiometry is 45 meV per atom.

Unit cell a=5.313 b=7.548 c=11.909 alpha=90.00 beta=90.00 gamma=110.60
Positions (direct):
In 0.890 0.779 0.378
In 0.890 0.779 0.122
In 0.110 0.221 0.622
Hg 0.337 0.675 0.011
Mg 0.707 0.414 0.750
Hg 0.683 0.366 0.250
Hg 0.663 0.325 0.989
Hg 0.317 0.634 0.750
Hg 0.337 0.675 0.489
Mg 0.293 0.586 0.250
Hg 0.900 0.801 0.627
Hg 0.100 0.199 0.127
Hg 0.663 0.325 0.511
In 0.110 0.221 0.878
Hg 0.100 0.199 0.373
Hg 0.900 0.801 0.873


Record 20
A plane-wave DFT calculation with GGA-PBE was carried out for a relaxed Mg2InHg5 crystal.

Calculated values
As for the uncorrected energy: -0.9824 eV/atom. For the volume, the calculation gives 24.82 Å³/atom. The symmetry is Immm. The spin magnetization comes out at 0.0 μB/f.u. Its formation energy is -0.05 eV/atom. Its energy above the lowest structure with this stoichiometry is 17 meV per atom.

Unit cell a=3.522 b=8.016 c=8.016 alpha=65.38 beta=77.31 gamma=77.31
Positions (direct):
Hg 0.629 0.125 0.617
Hg 0.371 0.383 0.875
In 0.000 0.000 0.000
Hg 0.000 0.500 0.500
Hg 0.371 0.875 0.383
Mg 0.229 0.271 0.271
Hg 0.629 0.617 0.125
Mg 0.771 0.729 0.729


Record 21
A plane-wave DFT calculation with GGA-PBE was carried out for a relaxed Mg3In2Hg2 crystal.

Calculated values
As for the uncorrected energy: -1.6513 eV/atom. For the volume, the calculation gives 23.38 Å³/atom. The symmetry is P-1. The spin magnetization comes out at 0.0 μB/f.u. Its formation energy is -0.10 eV/atom. Its energy above the lowest structure with this stoichiometry is 44 meV per atom.

Unit cell a=3.353 b=7.116 c=7.488 alpha=108.21 beta=89.17 gamma=104.83
Positions (direct):
In 0.890 0.755 0.574
Mg 0.000 0.000 0.000
Hg 0.599 0.188 0.769
In 0.110 0.245 0.426
Hg 0.401 0.812 0.231
Mg 0.713 0.436 0.168
Mg 0.287 0.564 0.832


Record 22
A plane-wave DFT calculation with GGA-PBE was carried out for a relaxed Mg3In2Hg2 crystal.

Calculated values
As for the uncorrected energy: -1.6952 eV/atom. For the volume, the calculation gives 23.05 Å³/atom. The symmetry is Cmmm. The spin magnetization comes out at 0.0 μB/f.u. Its formation energy is -0.14 eV/atom. Its energy above the lowest structure with this stoichiometry is 0 meV per atom.

Unit cell a=3.364 b=3.285 c=14.697 alpha=90.00 beta=83.43 gamma=90.00
Positions (direct):
Mg 0.131 0.000 0.738
Mg 0.000 0.000 0.000
Mg 0.869 0.000 0.262
Hg 0.566 0.500 0.868
In 0.296 0.500 0.409
In 0.704 0.500 0.591
Hg 0.434 0.500 0.132


Record 23
A plane-wave DFT calculation with GGA-PBE was carried out for a relaxed Mg4In2Hg5 crystal.

Calculated values
As for the uncorrected energy: -1.3047 eV/atom. For the volume, the calculation gives 24.09 Å³/atom. The symmetry is P-1. The spin magnetization comes out at 0.0 μB/f.u. Its formation energy is -0.09 eV/atom.

Unit cell a=5.650 b=6.925 c=8.669 alpha=64.73 beta=120.12 gamma=104.74
Positions (direct):
Mg 0.036 0.230 0.022
Mg 0.356 0.991 0.639
Mg 0.964 0.770 0.978
Hg 0.113 0.809 0.346
Hg 0.500 0.000 0.000
Hg 0.887 0.191 0.654
Hg 0.909 0.635 0.672
Mg 0.644 0.009 0.361
In 0.461 0.476 0.803
Hg 0.091 0.365 0.328
In 0.539 0.524 0.197